ReMoBrF2 | GGA+U | relaxed

a b c (Å): 3.9931 5.6937 3.9931
angles (deg): 90.00 90.00 90.00
Last column: nearest neighbours and their distance in Å.
Fractional coordinates of all 5 atoms:
Re 0.5000 0.5000 0.5000  4 Mo 2.82
Mo 0.0000 0.5000 0.0000  4 Re 2.82, 2 Br 2.85
Br 0.0000 0.0000 0.0000  4 F 2.00
F 0.0000 0.0000 0.5000  2 Br 2.00
F 0.5000 0.0000 0.0000  2 Br 2.00

Output
The space-group type is P4/mmm. The calculation puts the magnetization at 0.343 μB per atom. The raw total energy is -3.669 eV/atom.